Run 1
{"formula": "RbYC", "functional": "GGA-PBE", "state": "optimized geometry", "magmom_total_mub_per_cell": 0.3, "sg": "Imm2", "lattice": [[-2.1680, 2.7104, 11.3536], [2.1680, -2.7104, 11.3536], [2.1680, 2.7104, -11.3536]], "species": ["Rb", "Rb", "Y", "Y", "C", "C"], "frac_coords": [[0.0000, 0.0000, 0.0000], [0.3126, 0.3126, 0.0000], [0.1670, 0.6670, 0.5000], [0.6731, 0.1731, 0.5000], [0.5919, 0.7162, 0.8757], [0.8404, 0.7162, 0.1243]]}

Run 2
{"formula": "RbYC", "functional": "GGA-PBE", "state": "optimized geometry", "magmom_total_mub_per_cell": 0.0, "sg": "Pm", "lattice": [[4.0589, 0.0000, 0.0000], [0.0000, 6.9003, 0.0000], [-1.7240, 0.0000, 7.5452]], "species": ["Rb", "Rb", "Y", "Y", "C", "C"], "frac_coords": [[0.0000, 0.0000, 0.0000], [0.0010, 0.0000, 0.5001], [0.4893, 0.5000, 0.2263], [0.5101, 0.5000, 0.7756], [0.0990, 0.5000, 0.9412], [0.9004, 0.5000, 0.0608]]}

Run 3
{"formula": "RbYC", "functional": "GGA-PBE", "state": "optimized geometry", "magmom_total_mub_per_cell": 0.7, "sg": "Pm", "lattice": [[3.7349, 0.0000, 0.0000], [0.0000, 5.3975, 0.0000], [-0.8575, 0.0000, 9.7485]], "species": ["Rb", "Rb", "Y", "Y", "C", "C"], "frac_coords": [[0.0000, 0.0000, 0.0000], [0.0118, 0.5000, 0.7305], [0.1046, 0.0000, 0.4687], [0.5715, 0.5000, 0.2965], [0.4474, 0.0000, 0.7343], [0.6585, 0.0000, 0.6385]]}

Run 4
{"formula": "RbYC", "functional": "GGA-PBE", "state": "optimized geometry", "magmom_total_mub_per_cell": 0.6, "sg": "P6_3mc", "lattice": [[3.9161, 0.0000, 0.0000], [-1.9581, 3.3915, 0.0000], [0.0000, 0.0000, 14.3482]], "species": ["Rb", "Rb", "Y", "Y", "C", "C"], "frac_coords": [[0.0000, 0.0000, 0.0000], [0.0000, 0.0000, 0.5000], [0.3333, 0.6667, 0.2892], [0.6667, 0.3333, 0.7892], [0.3333, 0.6667, 0.8387], [0.6667, 0.3333, 0.3387]]}

Short version: run 2, run 1, run 3, run 4, most stable first.

Run 1
{"formula": "RbYC", "functional": "GGA-PBE", "state": "optimized geometry", "magmom_total_mub_per_cell": 0.0, "sg": "P4/nmm", "lattice": [[4.7359, 0.0000, 0.0000], [0.0000, 4.7359, 0.0000], [0.0000, 0.0000, 7.0014]], "species": ["Rb", "Rb", "Y", "Y", "C", "C"], "frac_coords": [[0.2500, 0.2500, 0.0812], [0.7500, 0.7500, 0.9188], [0.2500, 0.7500, 0.5000], [0.7500, 0.2500, 0.5000], [0.2500, 0.2500, 0.6236], [0.7500, 0.7500, 0.3764]]}

Run 2
{"formula": "RbYC", "functional": "GGA-PBE", "state": "optimized geometry", "magmom_total_mub_per_cell": 0.0, "sg": "P1", "lattice": [[3.5933, 0.0000, 0.0000], [1.7858, 6.5625, 0.0000], [0.0018, 0.7325, 8.2255]], "species": ["Rb", "Rb", "Y", "Y", "C", "C"], "frac_coords": [[0.0000, 0.0000, 0.0000], [0.2485, 0.4962, 0.7012], [0.5260, 0.9504, 0.3993], [0.7671, 0.4652, 0.2698], [0.1417, 0.7182, 0.3547], [0.3766, 0.2452, 0.2172]]}

Short version: run 1, run 2, most stable first.

Run 1
{"formula": "Rb3YC", "functional": "GGA-PBE", "state": "optimized geometry", "magmom_total_mub_per_cell": 0.0, "sg": "Pm-3m", "lattice": [[6.1782, 0.0000, 0.0000], [0.0000, 6.1782, 0.0000], [0.0000, 0.0000, 6.1782]], "species": ["Rb", "Rb", "Rb", "Y", "C"], "frac_coords": [[0.0000, 0.0000, 0.5000], [0.0000, 0.5000, 0.0000], [0.5000, 0.0000, 0.0000], [0.5000, 0.5000, 0.5000], [0.0000, 0.0000, 0.0000]]}

Run 2
{"formula": "Rb3YC", "functional": "GGA-PBE", "state": "optimized geometry", "magmom_total_mub_per_cell": 2.6, "sg": "Pm-3m", "lattice": [[7.4221, 0.0000, 0.0000], [0.0000, 7.4221, 0.0000], [0.0000, 0.0000, 7.4221]], "species": ["Rb", "Rb", "Rb", "Y", "C"], "frac_coords": [[0.0000, 0.0000, 0.5000], [0.0000, 0.5000, 0.0000], [0.5000, 0.0000, 0.0000], [0.0000, 0.0000, 0.0000], [0.5000, 0.5000, 0.5000]]}

Short version: run 1, run 2, most stable first.

Run 1
{"formula": "RbZnC2", "functional": "GGA-PBE", "state": "optimized geometry", "magmom_total_mub_per_cell": 0.0, "sg": "I4_1/amd", "lattice": [[-2.2719, 2.2719, 6.8053], [2.2719, -2.2719, 6.8053], [2.2719, 2.2719, -6.8053]], "species": ["Rb", "Rb", "Zn", "Zn", "C", "C", "C", "C"], "frac_coords": [[0.3750, 0.6250, 0.7500], [0.6250, 0.3750, 0.2500], [0.1250, 0.8750, 0.2500], [0.8750, 0.1250, 0.7500], [0.0000, 0.0000, 0.0000], [0.0000, 0.0000, 0.5000], [0.0000, 0.5000, 0.0000], [0.5000, 0.0000, 0.5000]]}

Run 2
{"formula": "RbZnC2", "functional": "GGA-PBE", "state": "optimized geometry", "magmom_total_mub_per_cell": 0.0, "sg": "Fm-3m", "lattice": [[0.0000, 3.1825, 3.1825], [3.1825, 0.0000, 3.1825], [3.1825, 3.1825, 0.0000]], "species": ["Rb", "Zn", "C", "C"], "frac_coords": [[0.0000, 0.0000, 0.0000], [0.5000, 0.5000, 0.5000], [0.2500, 0.2500, 0.2500], [0.7500, 0.7500, 0.7500]]}

Short version: run 1, run 2, most stable first.

Run 1
{"formula": "Re3C4", "functional": "GGA-PBE", "state": "optimized geometry", "magmom_total_mub_per_cell": 0.0, "sg": "P-43m", "lattice": [[4.6903, 0.0000, 0.0000], [0.0000, 4.6903, 0.0000], [0.0000, 0.0000, 4.6903]], "species": ["Re", "Re", "Re", "C", "C", "C", "C"], "frac_coords": [[0.0000, 0.0000, 0.5000], [0.0000, 0.5000, 0.0000], [0.5000, 0.0000, 0.0000], [0.2214, 0.2214, 0.2214], [0.2214, 0.7786, 0.7786], [0.7786, 0.2214, 0.7786], [0.7786, 0.7786, 0.2214]]}

Run 2
{"formula": "Re3C4", "functional": "GGA-PBE", "state": "optimized geometry", "magmom_total_mub_per_cell": 0.1, "sg": "Pm-3m", "lattice": [[4.2446, 0.0000, 0.0000], [0.0000, 4.2446, 0.0000], [0.0000, 0.0000, 4.2446]], "species": ["Re", "Re", "Re", "C", "C", "C", "C"], "frac_coords": [[0.0000, 0.0000, 0.5000], [0.0000, 0.5000, 0.0000], [0.5000, 0.0000, 0.0000], [0.0000, 0.0000, 0.0000], [0.0000, 0.5000, 0.5000], [0.5000, 0.0000, 0.5000], [0.5000, 0.5000, 0.0000]]}

Short version: run 2, run 1, most stable first.

Run 1
{"formula": "ReC3", "functional": "GGA-PBE", "state": "optimized geometry", "magmom_total_mub_per_cell": 0.0, "sg": "Pm-3m", "lattice": [[4.0181, 0.0000, 0.0000], [0.0000, 4.0181, 0.0000], [0.0000, 0.0000, 4.0181]], "species": ["Re", "C", "C", "C"], "frac_coords": [[0.0000, 0.0000, 0.0000], [0.0000, 0.0000, 0.5000], [0.0000, 0.5000, 0.0000], [0.5000, 0.0000, 0.0000]]}

Run 2
{"formula": "ReC3", "functional": "GGA-PBE", "state": "optimized geometry", "magmom_total_mub_per_cell": 0.0, "sg": "P6_3/mmc", "lattice": [[4.3967, 0.0000, 0.0000], [-2.1983, 3.8076, 0.0000], [0.0000, 0.0000, 4.4039]], "species": ["Re", "Re", "C", "C", "C", "C", "C", "C"], "frac_coords": [[0.3333, 0.6667, 0.2500], [0.6667, 0.3333, 0.7500], [0.2169, 0.4337, 0.7500], [0.2169, 0.7831, 0.7500], [0.4337, 0.2169, 0.2500], [0.5663, 0.7831, 0.7500], [0.7831, 0.2169, 0.2500], [0.7831, 0.5663, 0.2500]]}

Run 3
{"formula": "ReC3", "functional": "GGA-PBE", "state": "optimized geometry", "magmom_total_mub_per_cell": 0.0, "sg": "R-3m", "lattice": [[1.3377, 0.7723, 5.2011], [-1.3377, 0.7723, 5.2011], [0.0000, -1.5447, 5.2011]], "species": ["Re", "C", "C", "C"], "frac_coords": [[0.0000, 0.0000, 0.0000], [0.2311, 0.2311, 0.2311], [0.5000, 0.5000, 0.5000], [0.7689, 0.7689, 0.7689]]}

Run 4
{"formula": "ReC3", "functional": "GGA-PBE", "state": "optimized geometry", "magmom_total_mub_per_cell": 0.0, "sg": "R-3m", "lattice": [[3.2052, 1.8505, 1.0262], [-3.2052, 1.8505, 1.0262], [0.0000, -3.7010, 1.0262]], "species": ["Re", "C", "C", "C"], "frac_coords": [[0.0000, 0.0000, 0.0000], [0.0000, 0.5000, 0.5000], [0.5000, 0.0000, 0.5000], [0.5000, 0.5000, 0.0000]]}

Short version: run 2, run 3, run 1, run 4, most stable first.

Run 1
{"formula": "ReC3", "functional": "GGA-PBE", "state": "optimized geometry", "magmom_total_mub_per_cell": 0.0, "sg": "I4/mmm", "lattice": [[-1.3528, 1.3528, 11.4319], [1.3528, -1.3528, 11.4319], [1.3528, 1.3528, -11.4319]], "species": ["Re", "Re", "C", "C", "C", "C", "C", "C"], "frac_coords": [[0.1748, 0.1748, 0.0000], [0.8252, 0.8252, 0.0000], [0.0000, 0.5000, 0.5000], [0.2500, 0.7500, 0.5000], [0.3635, 0.3635, 0.0000], [0.5000, 0.0000, 0.5000], [0.6365, 0.6365, 0.0000], [0.7500, 0.2500, 0.5000]]}

Run 2
{"formula": "ReC3", "functional": "GGA-PBE", "state": "optimized geometry", "magmom_total_mub_per_cell": 0.0, "sg": "Pmmn", "lattice": [[4.0857, 0.0000, 0.0000], [0.0000, 4.3389, 0.0000], [0.0000, 0.0000, 4.3458]], "species": ["Re", "Re", "C", "C", "C", "C", "C", "C"], "frac_coords": [[0.2500, 0.2500, 0.2262], [0.7500, 0.7500, 0.7738], [0.2500, 0.5849, 0.8982], [0.2500, 0.7500, 0.5727], [0.2500, 0.9151, 0.8982], [0.7500, 0.0849, 0.1018], [0.7500, 0.2500, 0.4273], [0.7500, 0.4151, 0.1018]]}

Run 3
{"formula": "ReC3", "functional": "GGA-PBE", "state": "optimized geometry", "magmom_total_mub_per_cell": 0.0, "sg": "Imm2", "lattice": [[-1.4373, 3.2083, 1.9032], [1.4373, -3.2083, 1.9032], [1.4373, 3.2083, -1.9032]], "species": ["Re", "C", "C", "C"], "frac_coords": [[0.0000, 0.0000, 0.0000], [0.4502, 0.9502, 0.5000], [0.5098, 0.1858, 0.3240], [0.8618, 0.1858, 0.6760]]}

Run 4
{"formula": "ReC3", "functional": "GGA-PBE", "state": "optimized geometry", "magmom_total_mub_per_cell": 0.0, "sg": "Cmmm", "lattice": [[2.1241, -2.9123, 0.0000], [2.1241, 2.9123, 0.0000], [0.0000, 0.0000, 2.7571]], "species": ["Re", "C", "C", "C"], "frac_coords": [[0.0000, 0.0000, 0.0000], [0.0000, 0.5000, 0.5000], [0.5000, 0.0000, 0.5000], [0.5000, 0.5000, 0.0000]]}

Short version: run 3, run 2, run 1, run 4, most stable first.

Run 1
{"formula": "Re2C", "functional": "GGA-PBE", "state": "optimized geometry", "magmom_total_mub_per_cell": 0.0, "sg": "P4_2/mnm", "lattice": [[5.0447, 0.0000, 0.0000], [0.0000, 5.0447, 0.0000], [0.0000, 0.0000, 2.9184]], "species": ["Re", "Re", "Re", "Re", "C", "C"], "frac_coords": [[0.2099, 0.2099, 0.0000], [0.2901, 0.7099, 0.5000], [0.7099, 0.2901, 0.5000], [0.7901, 0.7901, 0.0000], [0.0000, 0.0000, 0.5000], [0.5000, 0.5000, 0.0000]]}

Run 2
{"formula": "Re2C", "functional": "GGA-PBE", "state": "optimized geometry", "magmom_total_mub_per_cell": 0.0, "sg": "Cmmm", "lattice": [[2.5426, -5.1987, 0.0000], [2.5426, 5.1987, 0.0000], [0.0000, 0.0000, 2.9110]], "species": ["Re", "Re", "Re", "Re", "C", "C"], "frac_coords": [[0.0000, 0.0000, 0.0000], [0.2123, 0.7877, 0.5000], [0.5000, 0.5000, 0.5000], [0.7877, 0.2123, 0.5000], [0.3504, 0.6496, 0.0000], [0.6496, 0.3504, 0.0000]]}

Short version: run 1, run 2, most stable first.

Run 1
{"formula": "Re2C", "functional": "GGA-PBE", "state": "optimized geometry", "magmom_total_mub_per_cell": 0.0, "sg": "P-3m1", "lattice": [[2.8669, 0.0000, 0.0000], [-1.4334, 2.4828, 0.0000], [0.0000, 0.0000, 5.0229]], "species": ["Re", "Re", "C"], "frac_coords": [[0.3333, 0.6667, 0.2719], [0.6667, 0.3333, 0.7281], [0.0000, 0.0000, 0.0000]]}

Run 2
{"formula": "Re2C", "functional": "GGA-PBE", "state": "optimized geometry", "magmom_total_mub_per_cell": 0.0, "sg": "Fd-3m", "lattice": [[0.0000, 3.6068, 3.6068], [3.6068, 0.0000, 3.6068], [3.6068, 3.6068, 0.0000]], "species": ["Re", "Re", "Re", "Re", "C", "C"], "frac_coords": [[0.0000, 0.0000, 0.0000], [0.0000, 0.0000, 0.5000], [0.0000, 0.5000, 0.0000], [0.5000, 0.0000, 0.0000], [0.3750, 0.3750, 0.3750], [0.6250, 0.6250, 0.6250]]}

Short version: run 1, run 2, most stable first.

Run 1
{"formula": "ReC5", "functional": "GGA-PBE", "state": "optimized geometry", "magmom_total_mub_per_cell": 0.0, "sg": "Cm", "lattice": [[3.9311, -1.3402, 0.0000], [3.9311, 1.3402, 0.0000], [-0.0531, 0.0000, 4.4503]], "species": ["Re", "C", "C", "C", "C", "C"], "frac_coords": [[0.0000, 0.0000, 0.0000], [0.2798, 0.2798, 0.1197], [0.3408, 0.3408, 0.4384], [0.5249, 0.5249, 0.3824], [0.6156, 0.6156, 0.6689], [0.8011, 0.8011, 0.6264]]}

Run 2
{"formula": "ReC5", "functional": "GGA-PBE", "state": "optimized geometry", "magmom_total_mub_per_cell": 0.6, "sg": "P6/mmm", "lattice": [[3.4759, 0.0000, 0.0000], [-1.7380, 3.0103, 0.0000], [0.0000, 0.0000, 7.7589]], "species": ["Re", "C", "C", "C", "C", "C"], "frac_coords": [[0.0000, 0.0000, 0.0000], [0.0000, 0.5000, 0.5000], [0.3333, 0.6667, 0.0000], [0.5000, 0.0000, 0.5000], [0.5000, 0.5000, 0.5000], [0.6667, 0.3333, 0.0000]]}

Run 3
{"formula": "ReC5", "functional": "GGA-PBE", "state": "optimized geometry", "magmom_total_mub_per_cell": 0.0, "sg": "Amm2", "lattice": [[2.5762, 0.0000, 0.0000], [0.0000, 1.3069, 6.6514], [0.0000, -1.3069, 6.6514]], "species": ["Re", "C", "C", "C", "C", "C"], "frac_coords": [[0.0000, 0.0000, 0.0000], [0.0000, 0.3253, 0.3253], [0.0000, 0.7581, 0.7581], [0.5000, 0.1263, 0.1263], [0.5000, 0.3952, 0.3952], [0.5000, 0.6903, 0.6903]]}

Run 4
{"formula": "ReC5", "functional": "GGA-PBE", "state": "optimized geometry", "magmom_total_mub_per_cell": 0.0, "sg": "P-62m", "lattice": [[3.8238, 0.0000, 0.0000], [-1.9119, 3.3115, 0.0000], [0.0000, 0.0000, 4.3288]], "species": ["Re", "C", "C", "C", "C", "C"], "frac_coords": [[0.0000, 0.0000, 0.0000], [0.0000, 0.7770, 0.5000], [0.2230, 0.2230, 0.5000], [0.3333, 0.6667, 0.0000], [0.6667, 0.3333, 0.0000], [0.7770, 0.0000, 0.5000]]}

Short version: run 3, run 1, run 4, run 2, most stable first.